1.
DFT (PBE-GGA) results for a relaxed La5Pt4 crystal.

extended XYZ file:
```
9
Lattice="-4.508 4.508 2.769 4.508 -4.508 2.769 4.508 4.508 -2.769" Properties=species:S:1:pos:R:3 pbc="T T T"
La 0.000 0.000 0.000
La 2.842 2.842 0.000
La 1.665 -1.665 2.769
La -1.665 1.665 2.769
La 1.665 1.665 2.769
Pt 3.090 0.000 0.000
Pt 5.925 0.000 0.000
Pt 0.000 3.090 0.000
Pt 0.000 5.925 0.000
```

Computed properties:
E above lowest polymorph: 384.6 meV per atom
calculated density: 10.88 g/cm³
E_tot: -54.2 eV per cell

2.
DFT (PBE-GGA) results for a relaxed LaPt2 crystal.

extended XYZ file:
```
12
Lattice="4.380 0.000 0.000 0.000 10.132 0.000 0.000 0.000 5.808" Properties=species:S:1:pos:R:3 pbc="T T T"
La 0.000 1.931 1.452
La 0.000 8.201 4.356
La 2.190 3.135 4.356
La 2.190 6.997 1.452
Pt 0.000 0.994 4.356
Pt 0.000 5.066 0.000
Pt 0.000 5.066 2.904
Pt 0.000 9.138 1.452
Pt 2.190 0.000 0.000
Pt 2.190 0.000 2.904
Pt 2.190 4.072 1.452
Pt 2.190 6.060 4.356
```

Computed properties:
calculated density: 13.63 g/cm³
E_tot: -80.9 eV per cell

3.
DFT (PBE-GGA) results for a relaxed La2Pt crystal.

extended XYZ file:
```
6
Lattice="0.000 4.329 4.329 4.329 0.000 4.329 4.329 4.329 0.000" Properties=species:S:1:pos:R:3 pbc="T T T"
La 0.000 0.000 0.000
La 2.165 2.165 0.000
La 2.165 0.000 2.165
La 0.000 2.165 2.165
Pt 3.247 3.247 3.247
Pt 5.412 5.412 5.412
```

Computed properties:
calculated density: 9.68 g/cm³
E_tot: -30.3 eV per cell

4.
DFT (PBE-GGA) results for a relaxed LaPt5 crystal.

extended XYZ file:
```
12
Lattice="4.174 0.000 0.000 0.000 12.604 0.000 0.000 0.000 4.101" Properties=species:S:1:pos:R:3 pbc="T T T"
La 0.000 0.000 0.000
La 2.087 6.302 0.000
Pt 0.000 2.229 2.051
Pt 0.000 4.173 0.000
Pt 0.000 6.302 2.051
Pt 0.000 8.431 0.000
Pt 0.000 10.375 2.051
Pt 2.087 0.000 2.051
Pt 2.087 2.129 0.000
Pt 2.087 4.073 2.051
Pt 2.087 8.531 2.051
Pt 2.087 10.475 0.000
```

Computed properties:
calculated density: 17.15 g/cm³
E_tot: -76.3 eV per cell

5.
DFT (PBE-GGA) results for a relaxed La3Pt crystal.

extended XYZ file:
```
12
Lattice="10.216 0.000 0.000 -5.108 8.847 0.000 0.000 0.000 3.738" Properties=species:S:1:pos:R:3 pbc="T T T"
La -2.554 4.424 0.000
La 0.000 2.949 1.246
La -2.554 7.373 1.246
La 2.554 1.475 2.492
La 5.108 0.000 0.000
La 2.554 4.424 0.000
La 2.554 7.373 1.246
La 7.662 1.475 2.492
La 5.108 5.898 2.492
Pt 0.000 0.000 0.000
Pt 0.000 5.898 2.492
Pt 5.108 2.949 1.246
```

Computed properties:
calculated density: 9.02 g/cm³
E_tot: -65.6 eV per cell

6.
DFT (PBE-GGA) results for a relaxed La3Pt2 crystal.

extended XYZ file:
```
5
Lattice="4.922 0.000 0.000 -2.461 4.263 0.000 0.000 0.000 6.931" Properties=species:S:1:pos:R:3 pbc="T T T"
La 0.000 0.000 0.000
La 0.000 2.842 2.336
La 2.461 1.421 4.595
Pt 0.000 2.842 5.508
Pt 2.461 1.421 1.423
```

Computed properties:
E above lowest polymorph: 76.9 meV per atom
calculated density: 9.21 g/cm³
E_tot: -31.4 eV per cell